## TaIrRuCl2 (GGA-PBE)

Data for TaIrRuCl2 after structural relaxation.

a = 4.3953 Å, b = 5.2420 Å, c = 4.3953 Å
α = 90.00°, β = 90.00°, γ = 90.00°
Last column: nearest neighbours and their distance in Å.
Sites, in units of the cell vectors:
Cl (0.5000, 0.0000, 0.0000)  2 Ru 2.20
Cl (0.0000, 0.0000, 0.5000)  2 Ru 2.20
Ru (0.0000, 0.0000, 0.0000)  4 Cl 2.20
Ir (0.5000, 0.5000, 0.5000)  4 Ta 3.11, 8 Cl 3.42
Ta (0.0000, 0.5000, 0.0000)  2 Ru 2.62

Properties
- E_tot (eV/atom) = -5.508
- Fermi-level density of states (states/eV/f.u.) = 4.5
- uncorrected formation energy (eV per atom) = 1.228